LaDyOsAu: relaxed, PBE.

Cell and atoms, written as CIF:
```
data_LaDyOsAu
_cell_length_a 5.068
_cell_length_b 5.068
_cell_length_c 5.068
_cell_angle_alpha 60.00
_cell_angle_beta 60.00
_cell_angle_gamma 60.00
_symmetry_space_group_name_H-M 'P 1'
_symmetry_Int_Tables_number 1
_symmetry_space_group_name_Hall 'P 1'
loop_
_atom_site_label
_atom_site_type_symbol
_atom_site_fract_x
_atom_site_fract_y
_atom_site_fract_z
Os1 Os 0.500 0.500 0.500
Dy1 Dy 0.750 0.750 0.750
La1 La 0.250 0.250 0.250
Au1 Au 0.000 0.000 0.000
```

Calculated values
- space-group type = F-43m (216)
- energy relative to the elements (eV per atom) = -0.37
- energy (eV per cell) = -25.5


LaDy2ScAu4: relaxed, PBE.

Cell and atoms, written as CIF:
```
data_LaDy2ScAu4
_cell_length_a 5.028
_cell_length_b 5.028
_cell_length_c 9.085
_cell_angle_alpha 73.94
_cell_angle_beta 73.94
_cell_angle_gamma 60.00
_symmetry_space_group_name_H-M 'P 1'
_symmetry_Int_Tables_number 1
_symmetry_space_group_name_Hall 'P 1'
loop_
_atom_site_label
_atom_site_type_symbol
_atom_site_fract_x
_atom_site_fract_y
_atom_site_fract_z
Dy1 Dy 0.755 0.755 0.736
Au1 Au 0.612 0.612 0.165
Au2 Au 0.870 0.870 0.389
Au3 Au 0.130 0.130 0.611
Au4 Au 0.388 0.388 0.835
La1 La 0.000 0.000 0.000
Dy2 Dy 0.245 0.245 0.264
Sc1 Sc 0.500 0.500 0.500
```

Calculated values
- space-group type = R-3m (166)
- energy relative to the elements (eV per atom) = -0.80
- energy (eV per cell) = -40.0


LaDySnAu: relaxed, PBE.

Cell and atoms, written as CIF:
```
data_LaDySnAu
_cell_length_a 5.362
_cell_length_b 5.362
_cell_length_c 5.362
_cell_angle_alpha 60.00
_cell_angle_beta 60.00
_cell_angle_gamma 60.00
_symmetry_space_group_name_H-M 'P 1'
_symmetry_Int_Tables_number 1
_symmetry_space_group_name_Hall 'P 1'
loop_
_atom_site_label
_atom_site_type_symbol
_atom_site_fract_x
_atom_site_fract_y
_atom_site_fract_z
La1 La 0.500 0.500 0.500
Dy1 Dy 0.000 0.000 0.000
Sn1 Sn 0.250 0.250 0.250
Au1 Au 0.750 0.750 0.750
```

Calculated values
- space-group type = F-43m (216)
- energy relative to the elements (eV per atom) = -0.72
- energy (eV per cell) = -19.7


La2DyTe5Au: relaxed, PBE.

Cell and atoms, written as CIF:
```
data_La2DyTe5Au
_cell_length_a 4.412
_cell_length_b 9.860
_cell_length_c 13.280
_cell_angle_alpha 90.00
_cell_angle_beta 90.00
_cell_angle_gamma 102.93
_symmetry_space_group_name_H-M 'P 1'
_symmetry_Int_Tables_number 1
_symmetry_space_group_name_Hall 'P 1'
loop_
_atom_site_label
_atom_site_type_symbol
_atom_site_fract_x
_atom_site_fract_y
_atom_site_fract_z
Te1 Te 0.960 0.921 0.571
Te2 Te 0.500 0.000 0.776
La1 La 0.114 0.228 0.688
Te3 Te 0.710 0.420 0.170
Dy1 Dy 0.189 0.378 0.010
Te4 Te 0.304 0.608 0.342
Te5 Te 0.500 0.000 0.276
Au1 Au 0.427 0.854 0.457
Te6 Te 0.696 0.392 0.842
La2 La 0.123 0.246 0.310
Dy2 Dy 0.811 0.622 0.510
La3 La 0.877 0.754 0.810
Au2 Au 0.573 0.146 0.957
Te7 Te 0.647 0.294 0.501
Te8 Te 0.040 0.079 0.071
Te9 Te 0.353 0.706 0.001
Te10 Te 0.290 0.580 0.670
La4 La 0.886 0.772 0.188
```

Calculated values
- uncorrected formation energy (kJ/mol of formula units) = -1125
- space-group type = Cmc2_1 (36)
- energy (eV per cell) = -90.2


LaDyTlAu: relaxed, PBE.

Cell and atoms, written as CIF:
```
data_LaDyTlAu
_cell_length_a 5.383
_cell_length_b 5.383
_cell_length_c 5.383
_cell_angle_alpha 60.00
_cell_angle_beta 60.00
_cell_angle_gamma 60.00
_symmetry_space_group_name_H-M 'P 1'
_symmetry_Int_Tables_number 1
_symmetry_space_group_name_Hall 'P 1'
loop_
_atom_site_label
_atom_site_type_symbol
_atom_site_fract_x
_atom_site_fract_y
_atom_site_fract_z
Tl1 Tl 0.000 0.000 0.000
Au1 Au 0.500 0.500 0.500
Dy1 Dy 0.750 0.750 0.750
La1 La 0.250 0.250 0.250
```

Calculated values
- space-group type = F-43m (216)
- energy relative to the elements (eV per atom) = -0.54
- energy (eV per cell) = -17.3


LaDyTm2Au4: relaxed, PBE.

Cell and atoms, written as CIF:
```
data_LaDyTm2Au4
_cell_length_a 5.071
_cell_length_b 5.071
_cell_length_c 9.097
_cell_angle_alpha 73.82
_cell_angle_beta 73.82
_cell_angle_gamma 60.00
_symmetry_space_group_name_H-M 'P 1'
_symmetry_Int_Tables_number 1
_symmetry_space_group_name_Hall 'P 1'
loop_
_atom_site_label
_atom_site_type_symbol
_atom_site_fract_x
_atom_site_fract_y
_atom_site_fract_z
Tm1 Tm 0.753 0.753 0.742
Au1 Au 0.872 0.872 0.384
Tm2 Tm 0.247 0.247 0.258
Au2 Au 0.128 0.128 0.616
Dy1 Dy 0.500 0.500 0.500
Au3 Au 0.616 0.616 0.153
Au4 Au 0.384 0.384 0.847
La1 La 0.000 0.000 0.000
```

Calculated values
- space-group type = R-3m (166)
- energy relative to the elements (eV per atom) = -0.84
- energy (eV per cell) = -38.3